The following is a PBE calculation of a relaxed TbCePtAu crystal, from Alexandria via LeMat-Bulk.

Cell lengths 5.092, 5.092, 5.092 Å; angles 60.00, 60.00, 60.00 degrees
Each line ends with the local moment (μB).
Sites, in units of the cell vectors:
Au1 0.250 0.250 0.250  0.00
Ce1 0.500 0.500 0.500  0.70
Pt1 0.750 0.750 0.750  -0.02
Tb1 0.000 0.000 0.000  0.05

V: 23.343 Å³ per atom
E_form: -0.88 eV per atom
total energy: -5.8554 eV/atom
excess energy over the best structure of this formula in the dataset: 70 meV/atom


The following is a PBE calculation of a relaxed MoPdPt3 crystal, from Alexandria via LeMat-Bulk.

Cell lengths 6.065, 7.522, 7.301 Å; angles 90.00, 90.00, 90.00 degrees
Sites, in units of the cell vectors:
Pt1 0.714 0.470 0.750
Pd1 0.203 0.156 0.250
Pt2 0.286 0.530 0.250
Pt3 0.630 0.672 0.061
Pt4 0.214 0.030 0.750
Mo1 0.500 0.000 0.500
Mo2 0.000 0.500 0.000
Pt5 0.630 0.672 0.439
Pt6 0.370 0.328 0.561
Mo3 0.500 0.000 0.000
Pd2 0.797 0.844 0.750
Pt7 0.130 0.828 0.061
Pt8 0.870 0.172 0.939
Pt9 0.786 0.970 0.250
Pt10 0.870 0.172 0.561
Pt11 0.130 0.828 0.439
Pt12 0.370 0.328 0.939
Pd3 0.297 0.656 0.750
Mo4 0.000 0.500 0.500
Pd4 0.703 0.344 0.250

V: 16.654 Å³ per atom
E_form: 0.06 eV per atom
total energy: -6.7645 eV/atom
excess energy over the best structure of this formula in the dataset: 0 meV/atom


The following is a PBE calculation of a relaxed TaCuRu2 crystal, from Alexandria via LeMat-Bulk.

Cell lengths 4.842, 4.842, 4.842 Å; angles 133.92, 133.94, 67.20 degrees
Sites, in units of the cell vectors:
Ta1 0.500 0.500 0.000
Cu1 0.250 0.750 0.500
Ru1 0.750 0.250 0.500
Ru2 0.000 0.000 0.000

V: 14.480 Å³ per atom
E_form: -0.05 eV per atom
total energy: -8.6722 eV/atom


The following is a PBE calculation of a relaxed Ac2YI crystal, from Alexandria via LeMat-Bulk.

Cell lengths 3.823, 3.823, 12.910 Å; angles 81.49, 81.49, 60.00 degrees
Each line ends with the local moment (μB).
Sites, in units of the cell vectors:
Ac1 0.094 0.094 0.717  0.02
Ac2 0.906 0.906 0.283  0.02
Y1 0.000 0.000 0.000  0.16
I1 0.500 0.500 0.500  0.00

V: 40.242 Å³ per atom
total energy: -4.1922 eV/atom
E_form (uncorrected): -134 meV/atom
excess energy over the best structure of this formula in the dataset: 246 meV/atom


The following is a PBE calculation of a relaxed Fe3NiRh3 crystal, from Alexandria via LeMat-Bulk.

Cell lengths 7.259, 7.259, 7.259 Å; angles 90.00, 90.00, 90.00 degrees
Each line ends with the local moment (μB).
Sites, in units of the cell vectors:
Rh1 0.463 0.537 0.037  0.91
Rh2 0.845 0.345 0.155  0.72
Fe1 0.043 0.320 0.864  3.01
Rh3 0.963 0.963 0.963  0.91
Rh4 0.037 0.463 0.537  0.91
Ni1 0.633 0.867 0.133  0.85
Fe2 0.957 0.820 0.636  3.01
Fe3 0.180 0.136 0.543  3.01
Ni2 0.133 0.633 0.867  0.85
Fe4 0.864 0.043 0.320  3.01
Rh5 0.325 0.825 0.675  0.62
Fe5 0.364 0.457 0.680  3.01
Rh6 0.345 0.155 0.845  0.72
Rh7 0.537 0.037 0.463  0.91
Ni3 0.367 0.367 0.367  0.85
Fe6 0.820 0.636 0.957  3.01
Rh8 0.675 0.325 0.825  0.62
Rh9 0.655 0.655 0.655  0.72
Fe7 0.543 0.180 0.136  3.01
Rh10 0.175 0.175 0.175  0.62
Fe8 0.457 0.680 0.364  3.01
Fe9 0.136 0.543 0.180  3.01
Rh11 0.825 0.675 0.325  0.62
Fe10 0.320 0.864 0.043  3.01
Fe11 0.636 0.957 0.820  3.01
Ni4 0.867 0.133 0.633  0.85
Rh12 0.155 0.845 0.345  0.72
Fe12 0.680 0.364 0.457  3.01

V: 13.662 Å³ per atom
E_form: 0.13 eV per atom
total energy: -7.4761 eV/atom


The following is a PBE calculation of a relaxed KSn3Pd crystal, from Alexandria via LeMat-Bulk.

Cell lengths 4.906, 4.908, 6.698 Å; angles 68.70, 68.71, 89.97 degrees
Sites, in units of the cell vectors:
K1 0.394 0.198 0.916
Sn1 0.637 0.943 0.428
Sn2 0.803 0.607 0.101
Sn3 0.139 0.441 0.429
Pd1 0.033 0.837 0.637

V: 27.684 Å³ per atom
E_form: -0.35 eV per atom
total energy: -4.0075 eV/atom
excess energy over the best structure of this formula in the dataset: 0 meV/atom